(1)
This record from Alexandria via LeMat-Bulk describes a relaxed Sc2Ti2Nb crystal. The functional is PBE-GGA.

Properties
As for the total magnetization: 0.0 μB/f.u. The value obtained for the energy of formation is 247.6 meV/atom. As for the space group: No. 127.

a b c (Å): 6.783 6.783 4.483
angles (deg): 90.00 90.00 90.00
Fractional positions:
Sc 0.165 0.335 0.000
Sc 0.335 0.835 0.000
Sc 0.665 0.165 0.000
Sc 0.835 0.665 0.000
Ti 0.142 0.642 0.500
Ti 0.358 0.142 0.500
Ti 0.642 0.858 0.500
Ti 0.858 0.358 0.500
Nb 0.000 0.000 0.500
Nb 0.500 0.500 0.500

(2)
This record from Alexandria via LeMat-Bulk describes a relaxed TcBrF crystal. The functional is PBE-GGA.

Properties
As for the total magnetization: 0.0 μB/f.u. For the energy relative to the lowest polymorph listed for this composition, the calculation gives 175 meV per atom. The value obtained for the formation energy without anion corrections is -0.54 eV/atom. As for the space group: No. 74.

a b c (Å): 4.493 4.997 9.331
angles (deg): 90.00 90.00 90.00
Fractional positions:
Tc 0.000 0.250 0.189
Tc 0.000 0.750 0.811
Tc 0.500 0.250 0.311
Tc 0.500 0.750 0.689
Br 0.000 0.250 0.887
Br 0.000 0.750 0.113
Br 0.500 0.250 0.613
Br 0.500 0.750 0.387
F 0.000 0.250 0.406
F 0.000 0.750 0.594
F 0.500 0.250 0.094
F 0.500 0.750 0.906

(3)
This record from Alexandria via LeMat-Bulk describes a relaxed Cu10Sb3 crystal. The functional is PBE-GGA.

Properties
As for the total magnetization: 0.0 μB/f.u. The value obtained for the formation energy without anion corrections is 0.06 eV/atom. As for the space group: No. 176.

a b c (Å): 10.121 10.121 4.296
angles (deg): 90.00 90.00 120.00
Fractional positions:
Cu 0.024 0.442 0.250
Cu 0.050 0.884 0.750
Cu 0.116 0.166 0.750
Cu 0.166 0.050 0.250
Cu 0.208 0.505 0.750
Cu 0.296 0.792 0.750
Cu 0.333 0.667 0.250
Cu 0.417 0.976 0.250
Cu 0.442 0.417 0.750
Cu 0.495 0.704 0.750
Cu 0.505 0.296 0.250
Cu 0.558 0.583 0.250
Cu 0.583 0.024 0.750
Cu 0.667 0.333 0.750
Cu 0.704 0.208 0.250
Cu 0.792 0.495 0.250
Cu 0.834 0.950 0.750
Cu 0.884 0.834 0.250
Cu 0.950 0.116 0.250
Cu 0.976 0.558 0.750
Sb 0.107 0.744 0.250
Sb 0.256 0.363 0.250
Sb 0.363 0.107 0.750
Sb 0.637 0.893 0.250
Sb 0.744 0.637 0.750
Sb 0.893 0.256 0.750

(4)
This record from Alexandria via LeMat-Bulk describes a relaxed ErTm4Cd crystal. The functional is PBE-GGA.

Properties
As for the total magnetization: 0.0 μB/f.u. The value obtained for the energy of formation is -86.3 meV/atom. For the energy relative to the lowest polymorph listed for this composition, the calculation gives 0 meV per atom. As for the space group: No. 123.

a b c (Å): 3.502 3.502 14.022
angles (deg): 90.00 90.00 90.00
Fractional positions:
Er 0.000 0.000 0.000
Tm 0.000 0.000 0.351
Tm 0.000 0.000 0.649
Tm 0.500 0.500 0.176
Tm 0.500 0.500 0.824
Cd 0.500 0.500 0.500